Compound: NdDy2VN4
Source: Alexandria via LeMat-Bulk
Functional: PBE-GGA
Structure: relaxed

a = 6.1200 Å, b = 6.1200 Å, c = 11.7624 Å
α = 90.00°, β = 90.00°, γ = 147.81°
Atoms (fractional coordinates):
Nd 0.0845 0.9155 0.7500
Nd 0.9155 0.0845 0.2500
Dy 0.3704 0.6296 0.5423
Dy 0.3704 0.6296 0.9577
Dy 0.6296 0.3704 0.0423
Dy 0.6296 0.3704 0.4577
V 0.1749 0.8251 0.2500
V 0.8251 0.1749 0.7500
N 0.0000 0.0000 0.0000
N 0.0000 0.0000 0.5000
N 0.2641 0.7359 0.1253
N 0.2641 0.7359 0.3747
N 0.4217 0.5783 0.7500
N 0.5783 0.4217 0.2500
N 0.7359 0.2641 0.6253
N 0.7359 0.2641 0.8747

Calculated values
E_form (uncorrected) = -1359 meV per atom